TcMoAu after structural relaxation, computed with PBE.

a b c (Å): 5.789 3.147 5.945
angles (deg): 90.00 103.88 90.00
Sites, in units of the cell vectors:
Tc1 0.171 0.250 0.416
Tc2 0.829 0.750 0.584
Mo1 0.090 0.250 0.838
Mo2 0.910 0.750 0.162
Au1 0.437 0.750 0.183
Au2 0.563 0.250 0.817

The value obtained for the mass density is 12346 kg/m3. The energy above the lowest structure with this stoichiometry is 0.1371 eV per atom. For the energy relative to the elements, the calculation gives 1.1 eV/f.u. The value obtained for the total energy is -7.7919 eV/atom.